Entry 1:
Material: Nd3BiPd
Method: DFT, PBE
State: relaxed

Results
V in Å³ per atom: 32.92
Formation energy from the elements in meV per atom: -517
Space-group type: Amm2
Magnetic moment in μB per atom: 0.0003

abc: 4.317 9.053 9.059
angles: 68.39 90.00 90.00
Atoms (fractional coordinates):
Pd  0.364  0.194  0.747
Pd  0.363  0.694  0.246
Nd  0.864  0.380  0.809
Nd  0.863  0.630  0.061
Nd  0.363  0.358  0.411
Nd  0.863  0.758  0.432
Nd  0.363  0.031  0.083
Nd  0.864  0.008  0.683
Bi  0.863  0.194  0.247
Bi  0.363  0.694  0.746

***

Entry 2:
Material: Nd3Bi2Pd7
Method: DFT, PBE
State: relaxed

Results
V in Å³ per atom: 21.99
Formation energy from the elements in meV per atom: -582
Space-group type: I4/mmm
Magnetic moment in μB per atom: 0.0000

abc: 4.181 4.181 15.382
angles: 97.81 97.81 90.00
Atoms (fractional coordinates):
Nd  0.500  0.500  0.000
Nd  0.680  0.680  0.361
Nd  0.320  0.320  0.639
Pd  0.225  0.225  0.451
Pd  0.930  0.430  0.859
Pd  0.070  0.570  0.141
Pd  0.000  0.000  0.000
Pd  0.430  0.930  0.859
Pd  0.570  0.070  0.141
Pd  0.775  0.775  0.549
Bi  0.129  0.129  0.258
Bi  0.871  0.871  0.742

***

Entry 3:
Material: Nd2BiPd
Method: DFT, PBE
State: relaxed

Results
V in Å³ per atom: 28.85
Formation energy from the elements in meV per atom: -785
Polymorph energy (0 for the lowest one) in meV/atom: 0
Space-group type: P2_1/m
Magnetic moment in μB per atom: 0.0000

abc: 4.477 6.431 8.636
angles: 111.86 90.00 90.00
Atoms (fractional coordinates):
Nd  0.250  0.323  0.095
Nd  0.750  0.677  0.905
Nd  0.750  0.238  0.447
Nd  0.250  0.762  0.553
Pd  0.750  0.622  0.298
Pd  0.250  0.378  0.702
Bi  0.250  0.884  0.204
Bi  0.750  0.116  0.796

***

Entry 4:
Material: NdBi3Pd12
Method: DFT, PBE
State: relaxed

Results
V in Å³ per atom: 17.93
Formation energy from the elements in meV per atom: -367
Space-group type: P4/mmm
Magnetic moment in μB per atom: 0.0000

abc: 4.169 4.169 16.507
angles: 90.00 90.00 90.00
Atoms (fractional coordinates):
Pd  0.500  0.500  0.500
Pd  0.000  0.500  0.129
Pd  0.000  0.500  0.624
Pd  0.500  0.000  0.871
Pd  0.000  0.500  0.871
Pd  0.000  0.500  0.376
Pd  0.500  0.500  0.000
Pd  0.500  0.500  0.255
Pd  0.500  0.000  0.129
Pd  0.500  0.000  0.376
Pd  0.500  0.500  0.745
Pd  0.500  0.000  0.624
Bi  0.000  0.000  0.500
Bi  0.000  0.000  0.749
Bi  0.000  0.000  0.251
Nd  0.000  0.000  0.000

***

Repeat the fourth record exactly.
Material: NdBi3Pd12
Method: DFT, PBE
State: relaxed

Results
V in Å³ per atom: 17.93
Formation energy from the elements in meV per atom: -367
Space-group type: P4/mmm
Magnetic moment in μB per atom: 0.0000

abc: 4.169 4.169 16.507
angles: 90.00 90.00 90.00
Atoms (fractional coordinates):
Pd  0.500  0.500  0.500
Pd  0.000  0.500  0.129
Pd  0.000  0.500  0.624
Pd  0.500  0.000  0.871
Pd  0.000  0.500  0.871
Pd  0.000  0.500  0.376
Pd  0.500  0.500  0.000
Pd  0.500  0.500  0.255
Pd  0.500  0.000  0.129
Pd  0.500  0.000  0.376
Pd  0.500  0.500  0.745
Pd  0.500  0.000  0.624
Bi  0.000  0.000  0.500
Bi  0.000  0.000  0.749
Bi  0.000  0.000  0.251
Nd  0.000  0.000  0.000

***

Q: magnetic moment of number 1 (Nd3BiPd)?
A: 0.0003 μB per atom